This record from Alexandria describes crystalline AgRh2Au at its relaxed geometry. The functional is PBE-GGA.

Structure (POSCAR):
```
AgRh2Au
1.0
1.411 -2.383 0.000
1.411 2.383 0.000
0.000 0.000 9.639
Ag Rh Au
1 2 1
direct
0.000 0.000 0.000
0.500 0.500 0.250
0.500 0.500 0.750
0.000 0.000 0.500
```

Values from the calculation:
Its formation energy is 0.304 eV/atom. The value obtained for the density of states at the Fermi level is 6.94 states/eV/f.u. As for the space group: Cmmm (65).